Record 1
{"formula": "ThTlNi", "functional": "GGA-PBE", "state": "relaxed", "lattice_angstrom": [[1.8641, -8.5255, 0.0000], [1.8641, 8.5255, 0.0000], [0.0000, 0.0000, 4.4293]], "species": ["Th", "Th", "Tl", "Tl", "Ni", "Ni"], "frac_coords": [[0.0867, 0.9133, 0.7500], [0.9133, 0.0867, 0.2500], [0.2934, 0.7066, 0.7500], [0.7066, 0.2934, 0.2500], [0.4588, 0.5412, 0.7500], [0.5412, 0.4588, 0.2500]], "n_ef_per_ev_fu": 1.48, "formation_energy_mev_per_atom": -337, "dft_energy_ev_per_atom": -5.53, "crystal_system": "orthorhombic", "spacegroup": "Cmcm (63)"}

Record 2
{"formula": "Er3Tl3HgTe8", "functional": "GGA-PBE", "state": "relaxed", "lattice_angstrom": [[7.4932, -4.3775, 0.0000], [7.4932, 4.3775, 0.0000], [-4.9655, 0.0000, 8.2038]], "species": ["Er", "Er", "Er", "Tl", "Tl", "Tl", "Hg", "Te", "Te", "Te", "Te", "Te", "Te", "Te", "Te"], "frac_coords": [[0.0000, 0.0000, 0.0000], [0.0000, 0.5000, 0.0000], [0.5000, 0.0000, 0.0000], [0.0000, 0.5000, 0.5000], [0.5000, 0.0000, 0.5000], [0.5000, 0.5000, 0.5000], [0.5000, 0.5000, 0.0000], [0.1858, 0.7771, 0.2398], [0.2229, 0.8142, 0.7602], [0.2397, 0.2397, 0.2153], [0.2866, 0.2866, 0.8074], [0.7134, 0.7134, 0.1926], [0.7603, 0.7603, 0.7847], [0.7771, 0.1858, 0.2398], [0.8142, 0.2229, 0.7602]], "n_ef_per_ev_fu": 6.30, "dft_energy_ev_per_atom": -3.83, "crystal_system": "monoclinic", "spacegroup": "C2/m (12)"}

Record 3
{"formula": "Tb2PaAl", "functional": "GGA-PBE", "state": "relaxed", "lattice_angstrom": [[4.7561, 0.0000, 0.0000], [0.0000, 4.7561, 0.0000], [0.0000, 0.0000, 4.5282]], "species": ["Tb", "Tb", "Pa", "Al"], "frac_coords": [[0.0000, 0.5000, 0.0000], [0.5000, 0.0000, 0.0000], [0.0000, 0.0000, 0.5000], [0.5000, 0.5000, 0.5000]], "n_ef_per_ev_fu": 4.35, "formation_energy_mev_per_atom": -7, "de_polymorph_mev_per_atom": 49, "dft_energy_ev_per_atom": -5.63, "crystal_system": "tetragonal", "spacegroup": "P4/mmm (123)"}

Record 4
{"formula": "Pm3SmCu8", "functional": "GGA-PBE", "state": "relaxed", "lattice_angstrom": [[5.3562, 0.0000, 0.0000], [-2.6781, 4.6386, 0.0000], [0.0000, 0.0000, 8.6125]], "species": ["Pm", "Pm", "Pm", "Sm", "Cu", "Cu", "Cu", "Cu", "Cu", "Cu", "Cu", "Cu"], "frac_coords": [[0.0000, 0.0000, 0.0000], [0.0000, 0.0000, 0.3998], [0.3333, 0.6667, 0.8989], [0.3333, 0.6667, 0.4996], [0.3418, 0.1709, 0.6993], [0.5042, 0.0084, 0.2001], [0.5042, 0.4958, 0.2001], [0.6667, 0.3333, 0.4499], [0.6667, 0.3333, 0.9498], [0.8291, 0.1709, 0.6993], [0.8291, 0.6582, 0.6993], [0.9916, 0.4958, 0.2001]], "n_ef_per_ev_fu": 7.99, "formation_energy_mev_per_atom": -150, "dft_energy_ev_per_atom": -4.46, "crystal_system": "trigonal", "spacegroup": "P3m1 (156)"}

Record 5
{"formula": "Y3TlP", "functional": "GGA-PBE", "state": "relaxed", "lattice_angstrom": [[9.0015, 0.0000, 0.0000], [0.0000, 3.9931, 0.0000], [0.0000, 0.0000, 15.1238]], "species": ["Y", "Y", "Y", "Y", "Y", "Y", "Y", "Y", "Y", "Y", "Y", "Y", "Tl", "Tl", "Tl", "Tl", "P", "P", "P", "P"], "frac_coords": [[0.0270, 0.2500, 0.1084], [0.1644, 0.2500, 0.5128], [0.1982, 0.7500, 0.2878], [0.3018, 0.2500, 0.7878], [0.3356, 0.7500, 0.0128], [0.4730, 0.7500, 0.6084], [0.5270, 0.2500, 0.3916], [0.6644, 0.2500, 0.9872], [0.6982, 0.7500, 0.2122], [0.8018, 0.2500, 0.7122], [0.8356, 0.7500, 0.4872], [0.9730, 0.7500, 0.8916], [0.0836, 0.7500, 0.6756], [0.4164, 0.2500, 0.1756], [0.5836, 0.7500, 0.8244], [0.9164, 0.2500, 0.3244], [0.1637, 0.2500, 0.9449], [0.3363, 0.7500, 0.4449], [0.6637, 0.2500, 0.5551], [0.8363, 0.7500, 0.0551]], "n_ef_per_ev_fu": 3.60, "formation_energy_mev_per_atom": -849, "de_polymorph_mev_per_atom": 0, "dft_energy_ev_per_atom": -6.28, "crystal_system": "orthorhombic", "spacegroup": "Pnma (62)"}

Record 6
{"formula": "PmNd7Sm5", "functional": "GGA-PBE", "state": "relaxed", "lattice_angstrom": [[-3.4046, 5.7134, 5.9465], [3.4046, -5.7134, 5.9465], [3.4046, 5.7134, -5.9465]], "species": ["Pm", "Nd", "Nd", "Nd", "Nd", "Nd", "Nd", "Nd", "Sm", "Sm", "Sm", "Sm", "Sm"], "frac_coords": [[0.0000, 0.0000, 0.0000], [0.2234, 0.5544, 0.6690], [0.3011, 0.8011, 0.5000], [0.3080, 0.3080, 0.0000], [0.3811, 0.0560, 0.3251], [0.6136, 0.6136, 0.0000], [0.7309, 0.0560, 0.6749], [0.8854, 0.5544, 0.3310], [0.0393, 0.0411, 0.4610], [0.0393, 0.5783, 0.9981], [0.5802, 0.0411, 0.0019], [0.5802, 0.5783, 0.5390], [0.7934, 0.2934, 0.5000]], "n_ef_per_ev_fu": 23.04, "formation_energy_mev_per_atom": 221, "dft_energy_ev_per_atom": -4.53, "crystal_system": "orthorhombic", "spacegroup": "Imm2 (44)"}

Record 7
{"formula": "GaCu3Re", "functional": "GGA-PBE", "state": "relaxed", "lattice_angstrom": [[4.3251, 0.0000, 0.0000], [0.0000, 4.3251, 0.0000], [0.0000, 0.0000, 4.3251]], "species": ["Ga", "Cu", "Cu", "Cu", "Re"], "frac_coords": [[0.0000, 0.0000, 0.0000], [0.0000, 0.0000, 0.5000], [0.0000, 0.5000, 0.0000], [0.5000, 0.0000, 0.0000], [0.5000, 0.5000, 0.5000]], "n_ef_per_ev_fu": 3.55, "formation_energy_mev_per_atom": 1300, "de_polymorph_mev_per_atom": 0, "dft_energy_ev_per_atom": -4.25, "crystal_system": "cubic", "spacegroup": "Pm-3m (221)"}

Record 8
{"formula": "Ca3TmBi2As", "functional": "GGA-PBE", "state": "relaxed", "lattice_angstrom": [[-2.6559, 2.6738, 8.2916], [2.6559, -2.6738, 8.2916], [2.6559, 2.6738, -8.2916]], "species": ["Ca", "Ca", "Ca", "Tm", "Bi", "Bi", "As"], "frac_coords": [[0.0000, 0.0000, 0.0000], [0.1752, 0.6752, 0.5000], [0.8248, 0.3248, 0.5000], [0.5000, 0.5000, 0.0000], [0.3678, 0.8678, 0.5000], [0.6322, 0.1322, 0.5000], [0.0000, 0.5000, 0.5000]], "n_ef_per_ev_fu": 0.29, "formation_energy_mev_per_atom": -886, "dft_energy_ev_per_atom": -4.16, "crystal_system": "orthorhombic", "spacegroup": "Immm (71)"}

Record 9
{"formula": "La2DyZn", "functional": "GGA-PBE", "state": "relaxed", "lattice_angstrom": [[1.8506, 1.0684, 10.6596], [-1.8506, 1.0684, 10.6596], [0.0000, -2.1369, 10.6596]], "species": ["La", "La", "Dy", "Zn"], "frac_coords": [[0.0000, 0.0000, 0.0000], [0.1850, 0.1850, 0.1850], [0.4252, 0.4252, 0.4252], [0.5927, 0.5927, 0.5927]], "n_ef_per_ev_fu": 5.21, "formation_energy_mev_per_atom": -14, "de_polymorph_mev_per_atom": 142, "dft_energy_ev_per_atom": -3.95, "crystal_system": "trigonal", "spacegroup": "R3m (160)"}

Record 10
{"formula": "Sr2Li16Ho", "functional": "GGA-PBE", "state": "relaxed", "lattice_angstrom": [[5.1741, 2.9873, 5.0380], [-5.1741, 2.9873, 5.0380], [0.0000, -5.9746, 5.0380]], "species": ["Sr", "Sr", "Li", "Li", "Li", "Li", "Li", "Li", "Li", "Li", "Li", "Li", "Li", "Li", "Li", "Li", "Li", "Li", "Ho"], "frac_coords": [[0.0000, 0.0000, 0.0000], [0.3066, 0.3066, 0.3066], [0.1627, 0.6469, 0.6469], [0.3075, 0.3075, 0.7966], [0.3075, 0.7966, 0.3075], [0.3554, 0.6500, 0.9424], [0.3554, 0.9424, 0.6500], [0.4972, 0.9983, 0.9983], [0.5459, 0.5459, 0.5459], [0.6469, 0.1627, 0.6469], [0.6469, 0.6469, 0.1627], [0.6500, 0.3554, 0.9424], [0.6500, 0.9424, 0.3554], [0.7966, 0.3075, 0.3075], [0.9424, 0.3554, 0.6500], [0.9424, 0.6500, 0.3554], [0.9983, 0.4972, 0.9983], [0.9983, 0.9983, 0.4972], [0.7478, 0.7478, 0.7478]], "n_ef_per_ev_fu": 12.82, "formation_energy_mev_per_atom": 47, "dft_energy_ev_per_atom": -1.98, "crystal_system": "trigonal", "spacegroup": "R3m (160)"}

Record 11
{"formula": "ZrNiGe2", "functional": "GGA-PBE", "state": "relaxed", "lattice_angstrom": [[-2.0677, 2.0677, 8.5640], [2.0677, -2.0677, 8.5640], [2.0677, 2.0677, -8.5640]], "species": ["Zr", "Zr", "Ni", "Ni", "Ge", "Ge", "Ge", "Ge"], "frac_coords": [[0.0000, 0.0000, 0.0000], [0.7500, 0.2500, 0.5000], [0.2500, 0.7500, 0.5000], [0.5000, 0.5000, 0.0000], [0.1908, 0.6250, 0.0658], [0.3750, 0.4408, 0.5658], [0.5592, 0.1250, 0.9342], [0.8750, 0.8092, 0.4342]], "n_ef_per_ev_fu": 2.58, "formation_energy_mev_per_atom": -117, "dft_energy_ev_per_atom": -6.01, "crystal_system": "tetragonal", "spacegroup": "I-42d (122)"}

Record 12
{"formula": "ZrAl2P", "functional": "GGA-PBE", "state": "relaxed", "lattice_angstrom": [[2.6619, -4.2045, 0.0000], [2.6619, 4.2045, 0.0000], [0.0000, 0.0000, 3.1437]], "species": ["Zr", "Al", "Al", "P"], "frac_coords": [[0.0000, 0.0000, 0.0000], [0.0000, 0.5000, 0.5000], [0.5000, 0.0000, 0.5000], [0.5000, 0.5000, 0.0000]], "n_ef_per_ev_fu": 2.30, "formation_energy_mev_per_atom": -234, "dft_energy_ev_per_atom": -5.59, "crystal_system": "orthorhombic", "spacegroup": "Cmmm (65)"}